Record 1
LuMgCuTe3 | PBE | optimized geometry

Results
total moment	0.0	μB per formula unit
theoretical density	6.6	Mg/m³
energy	-3.9381	eV/atom
crystal system	monoclinic
distance to the lowest polymorph of the same formula	53	meV per atom

a b c (Å): 19.7439 4.0848 8.1901
angles (deg): 90.00 102.49 90.00
Last column: nearest neighbours and their distance in Å.
Space group C2/m (No. 12)
Unique sites:
Lu 0.1582 0.0000 0.0828  6 Te 3.00-3.14, 2 Cu 3.32
Mg 0.1129 0.0000 0.5590  6 Te 2.99-3.08
Cu 0.0474 0.5000 0.2106  4 Te 2.58-2.73
Te 0.0000 0.0000 0.0000  4 Cu 2.71
Te 0.0000 0.5000 0.5000  2 Cu 2.73, 4 Mg 2.99
Te 0.1773 0.5000 0.3564  1 Cu 2.58
Te 0.1790 0.5000 0.8281  3 Lu 3.01-3.14, 2 Mg 3.08

---

Record 2
LuMgCuTe3 | PBE | optimized geometry

Results
total moment	0.0	μB per formula unit
theoretical density	6.6	Mg/m³
energy	-3.9876	eV/atom
crystal system	monoclinic
distance to the lowest polymorph of the same formula	4	meV per atom

a b c (Å): 8.1624 4.0986 9.8531
angles (deg): 90.00 101.62 90.00
Last column: nearest neighbours and their distance in Å.
Space group P2_1/m (No. 11)
Unique sites:
Lu 0.1761 0.2500 0.1751  6 Te 2.98-3.11
Mg 0.3031 0.7500 0.7130  6 Te 3.01-3.12, 1 Cu 3.19
Cu 0.4235 0.7500 0.4243  4 Te 2.65-2.76, 2 Cu 2.69
Te 0.1009 0.2500 0.8524  3 Lu 3.02-3.11, 2 Mg 3.12
Te 0.2337 0.2500 0.4845  3 Cu 2.71-2.76, 1 Lu 2.99, 2 Mg 3.01
Te 0.4366 0.7500 0.1572  1 Cu 2.65

---

Record 3
LuMgCuTe3 | PBE | optimized geometry

Results
total moment	0.0	μB per formula unit
theoretical density	6.8	Mg/m³
energy	-3.9598	eV/atom
crystal system	orthorhombic
distance to the lowest polymorph of the same formula	32	meV per atom

a b c (Å): 11.0850 4.0794 13.8744
angles (deg): 90.00 90.00 90.00
Last column: nearest neighbours and their distance in Å.
Space group Pnma (No. 62)
Unique sites:
Lu 0.0037 0.2500 0.2483  6 Te 3.00-3.10
Mg 0.2438 0.7500 0.5281  6 Te 3.01-3.20
Cu 0.2462 0.2500 0.7266  4 Te 2.63-2.67
Te 0.0667 0.2500 0.6026  1 Cu 2.63
Te 0.0761 0.7500 0.1008  1 Cu 2.63
Te 0.2474 0.7500 0.8503  2 Cu 2.67

---

Record 4
LuMgCuTe3 | PBE | optimized geometry

Results
total moment	0.0	μB per formula unit
theoretical density	6.9	Mg/m³
energy	-3.9153	eV/atom
crystal system	orthorhombic
distance to the lowest polymorph of the same formula	76	meV per atom

a b c (Å): 12.5366 4.0986 12.0873
angles (deg): 90.00 90.00 90.00
Last column: nearest neighbours and their distance in Å.
Space group Pnma (No. 62)
Unique sites:
Lu 0.0526 0.2500 0.1883  6 Te 3.03-3.21, 2 Cu 3.37
Mg 0.2180 0.2500 0.4630  2 Cu 2.96, 6 Te 3.08-3.14
Cu 0.2431 0.7500 0.2885  4 Te 2.56-2.66
Te 0.0559 0.7500 0.3728  1 Cu 2.56
Te 0.0958 0.2500 0.9269  1 Cu 2.62
Te 0.2068 0.7500 0.6585  2 Cu 2.66

---

Record 5
LuMgCuTe3 | PBE | optimized geometry

Results
total moment	0.0	μB per formula unit
theoretical density	6.7	Mg/m³
energy	-3.9914	eV/atom
crystal system	orthorhombic
distance to the lowest polymorph of the same formula	0	meV per atom

a b c (Å): 13.6546 4.0844 11.4621
angles (deg): 90.00 90.00 90.00
Last column: nearest neighbours and their distance in Å.
Space group Pnma (No. 62)
Unique sites:
Lu 0.0016 0.2500 0.1763  6 Te 2.98-3.09
Mg 0.2049 0.2500 0.4417  6 Te 3.02-3.11, 1 Cu 3.23
Cu 0.0028 0.7500 0.4230  4 Te 2.67-2.71, 2 Cu 2.70
Te 0.1237 0.2500 0.9491  3 Lu 3.03-3.09, 2 Mg 3.11
Te 0.1237 0.7500 0.6106  3 Cu 2.70-2.71, 1 Lu 2.98, 2 Mg 3.02
Te 0.1444 0.7500 0.2618  1 Cu 2.67, 2 Lu 2.99

---

Record 6
LuMgCuTe3 | PBE | optimized geometry

Results
total moment	0.0	μB per formula unit
theoretical density	6.8	Mg/m³
energy	-3.9601	eV/atom
crystal system	orthorhombic
distance to the lowest polymorph of the same formula	31	meV per atom

a b c (Å): 4.0798 13.8825 11.0916
angles (deg): 90.00 90.00 90.00
Last column: nearest neighbours and their distance in Å.
Space group Cmcm (No. 63)
Unique sites:
Lu 0.0000 0.0000 0.0000  6 Te 3.00-3.10
Mg 0.0000 0.2260 0.2500  6 Te 3.04-3.16
Cu 0.0000 0.4763 0.7500  4 Te 2.62-2.67
Te 0.0000 0.1003 0.7500  2 Cu 2.67
Te 0.0000 0.3522 0.5719  1 Cu 2.62

---

Record 7
LuMgCuTe3 | PBE | optimized geometry

Results
total moment	0.0	μB per formula unit
theoretical density	6.6	Mg/m³
energy	-3.9068	eV/atom
crystal system	orthorhombic
distance to the lowest polymorph of the same formula	85	meV per atom

a b c (Å): 8.3264 4.2100 18.6288
angles (deg): 90.00 90.00 90.00
Last column: nearest neighbours and their distance in Å.
Space group Pnma (No. 62)
Unique sites:
Lu 0.2282 0.2500 0.0381  6 Te 2.99-3.31
Mg 0.0467 0.2500 0.7374  5 Te 2.88-3.04, 2 Cu 3.02
Cu 0.1132 0.2500 0.3541  4 Te 2.60-2.65
Te 0.0190 0.2500 0.5831  2 Cu 2.65, 1 Mg 2.88
Te 0.1251 0.7500 0.9328  1 Cu 2.63
Te 0.1930 0.2500 0.2191  1 Cu 2.60

---

Record 8
LuMgZnCu | PBE | optimized geometry

Results
total moment	0.0	μB per formula unit
theoretical density	7.7	Mg/m³
energy	-2.8528	eV/atom
crystal system	cubic
distance to the lowest polymorph of the same formula	0	meV per atom

a b c (Å): 6.5673 6.5673 6.5673
angles (deg): 90.00 90.00 90.00
Last column: nearest neighbours and their distance in Å.
Space group F-43m (No. 216)
Unique sites:
Lu 0.0000 0.0000 0.0000  4 Mg 2.84, 4 Cu 2.84
Mg 0.2500 0.2500 0.2500  4 Zn 2.84, 4 Lu 2.84
Zn 0.0000 0.0000 0.5000  4 Cu 2.84, 4 Mg 2.84
Cu 0.2500 0.2500 0.7500  4 Zn 2.84, 4 Lu 2.84

---

Record 9
LuMgZnCu | PBE | optimized geometry

Results
total moment	0.0	μB per formula unit
theoretical density	7.7	Mg/m³
energy	-2.8170	eV/atom
crystal system	cubic
distance to the lowest polymorph of the same formula	36	meV per atom

a b c (Å): 6.5725 6.5725 6.5725
angles (deg): 90.00 90.00 90.00
Last column: nearest neighbours and their distance in Å.
Space group F-43m (No. 216)
Unique sites:
Lu 0.0000 0.0000 0.0000  4 Mg 2.85, 4 Zn 2.85
Mg 0.2500 0.2500 0.7500  4 Lu 2.85, 4 Cu 2.85
Zn 0.2500 0.2500 0.2500  4 Cu 2.85, 4 Lu 2.85
Cu 0.0000 0.0000 0.5000  4 Mg 2.85, 4 Zn 2.85

---

Record 10
LuCuMo2 | PBE | optimized geometry

Results
total moment	0.0	μB per formula unit
theoretical density	10.6	Mg/m³
energy	-7.2912	eV/atom
energy of formation	193	meV per atom
crystal system	cubic

a b c (Å): 6.4537 6.4537 6.4537
angles (deg): 90.00 90.00 90.00
Last column: nearest neighbours and their distance in Å.
Space group F-43m (No. 216)
Unique sites:
Lu 0.0000 0.0000 0.0000  4 Mo 2.79, 4 Cu 2.79
Cu 0.2500 0.2500 0.2500  4 Mo 2.79, 4 Lu 2.79
Mo 0.0000 0.0000 0.5000  4 Mo 2.79, 4 Cu 2.79
Mo 0.2500 0.2500 0.7500  4 Mo 2.79, 4 Lu 2.79

---

Record 11
LuCu2Mo | PBE | optimized geometry

Results
total moment	2.9	μB per formula unit
theoretical density	10.0	Mg/m³
energy	-5.2883	eV/atom
energy of formation	413	meV per atom
crystal system	cubic

a b c (Å): 6.4139 6.4139 6.4139
angles (deg): 90.00 90.00 90.00
Last column: nearest neighbours and their distance in Å.
Space group F-43m (No. 216)
Unique sites:
Lu 0.0000 0.0000 0.0000  4 Mo 2.78, 4 Cu 2.78
Cu 0.0000 0.0000 0.5000  4 Mo 2.78, 4 Cu 2.78
Cu 0.2500 0.2500 0.2500  4 Cu 2.78, 4 Lu 2.78
Mo 0.2500 0.2500 0.7500  4 Cu 2.78, 4 Lu 2.78

---

Record 12
Lu4Cu3Mo2N3 | PBE | optimized geometry

Results
total moment	0.0	μB per formula unit
theoretical density	10.2	Mg/m³
energy	-7.0070	eV/atom
crystal system	monoclinic

a b c (Å): 9.7822 5.6824 13.6232
angles (deg): 90.00 103.99 90.00
Last column: nearest neighbours and their distance in Å.
Space group C2/c (No. 15)
Unique sites:
Lu 0.1178 0.0801 0.1069  3 N 2.33-2.37
Lu 0.2124 0.0908 0.3934  3 N 2.30-2.39
Cu 0.0000 0.1629 0.7500  2 Cu 2.43
Cu 0.1236 0.4670 0.2491  2 Cu 2.42-2.43
Mo 0.0617 0.4144 0.9318  3 N 2.07-2.13
N 0.0844 0.2448 0.4998  2 Mo 2.12-2.13, 4 Lu 2.30-2.35
N 0.2500 0.2500 0.0000  2 Mo 2.07